1.
This record from Alexandria describes Zn2TePb after structural relaxation. The functional is PBE.

Output
* final energy: -2.24 eV/atom
* formation energy from raw total energies: 0.108 eV/atom
* N(E_F): 1.6 states/eV/f.u.
* symmetry: I-4m2, No. 119

Structure (POSCAR):
```
Zn2TePb
1.0
-2.090 -6.125 0.496
3.417 -5.346 -1.369
0.290 5.635 3.209
Zn Te Pb
2 1 1
direct
0.250 0.750 0.500
0.000 0.000 0.000
0.750 0.250 0.500
0.500 0.500 0.000
```

=====

2.
This record from Alexandria describes ZnTe2Pb after structural relaxation. The functional is PBE.

Output
* final energy: -2.85 eV/atom
* formation energy from raw total energies: -0.030 eV/atom
* N(E_F): 2.1 states/eV/f.u.
* symmetry: R-3m, No. 166

Structure (POSCAR):
```
ZnTe2Pb
1.0
-7.408 -3.031 6.448
-5.984 -6.318 5.469
-4.411 -4.353 8.199
Te Pb Zn
2 1 1
direct
0.892 0.892 0.892
0.108 0.108 0.108
0.000 0.000 0.000
0.500 0.500 0.500
```

=====

3.
This record from Alexandria describes ZnTe2Pb after structural relaxation. The functional is PBE.

Output
* final energy: -3.09 eV/atom
* formation energy from raw total energies: -0.276 eV/atom
* symmetry: Cm, No. 8

Structure (POSCAR):
```
ZnTe2Pb
1.0
-6.908 -0.596 0.565
-5.074 -2.184 4.228
-0.374 4.477 2.129
Te Pb Zn
2 1 1
direct
0.008 0.008 0.209
0.269 0.269 0.697
0.774 0.774 0.134
0.448 0.448 0.460
```